No. 1
An optimized crystal structure of CaCoMo2. Source: Alexandria via LeMat-Bulk, functional PBE-GGA.

Cell lengths 3.7431, 3.7431, 4.8790 Å; angles 90.00, 90.00, 90.00 degrees
Fractional positions:
Ca1 0.0000 0.0000 0.0000
Co1 0.5000 0.5000 0.0000
Mo1 0.0000 0.5000 0.5000
Mo2 0.5000 0.0000 0.5000

- ΔE to the lowest computed polymorph (kJ/mol of formula units) = 117
- electronic total energy (eV for the cell shown) = -27.9
- crystal system = tetragonal

***

No. 2
An optimized crystal structure of Y2ScW. Source: Alexandria via LeMat-Bulk, functional PBE-GGA.

Cell lengths 5.4945, 5.4945, 5.4945 Å; angles 129.85, 129.85, 73.65 degrees
Fractional positions:
Y1 0.0000 0.0000 0.0000
Y2 0.7500 0.2500 0.5000
Sc1 0.2500 0.7500 0.5000
W1 0.5000 0.5000 0.0000

- ΔE to the lowest computed polymorph (kJ/mol of formula units) = 52
- electronic total energy (eV for the cell shown) = -30.5
- crystal system = tetragonal

***

No. 3
An optimized crystal structure of TiCuSb. Source: Alexandria via LeMat-Bulk, functional PBE-GGA.

Cell lengths 7.3739, 7.3739, 7.3739 Å; angles 34.56, 34.56, 34.56 degrees
Fractional positions:
Ti1 0.1644 0.1644 0.1644
Ti2 0.8356 0.8356 0.8356
Cu1 0.2956 0.2956 0.2956
Cu2 0.7044 0.7044 0.7044
Sb1 0.4208 0.4208 0.4208
Sb2 0.5792 0.5792 0.5792

- electronic total energy (eV for the cell shown) = -31.9
- ΔE_f (raw) (eV per atom) = 0.0497
- crystal system = trigonal

***

No. 4
An optimized crystal structure of MoHBr3. Source: Alexandria via LeMat-Bulk, functional PBE-GGA.

Cell lengths 5.2314, 5.2314, 5.2314 Å; angles 90.00, 90.00, 90.00 degrees
Fractional positions:
Mo1 0.0000 0.0000 0.0000
H1 0.5000 0.5000 0.5000
Br1 0.0000 0.0000 0.5000
Br2 0.0000 0.5000 0.0000
Br3 0.5000 0.0000 0.0000

- ΔE to the lowest computed polymorph (kJ/mol of formula units) = 0
- electronic total energy (eV for the cell shown) = -17.6
- crystal system = cubic

***

No. 5
An optimized crystal structure of La2SiCl. Source: Alexandria via LeMat-Bulk, functional PBE-GGA.

Cell lengths 4.6675, 6.2373, 6.2373 Å; angles 36.83, 90.00, 90.00 degrees
Fractional positions:
La1 0.0000 0.0000 0.0000
La2 0.5000 0.2584 0.2584
Si1 0.5000 0.5223 0.5223
Cl1 0.0000 0.7594 0.7594

- ΔE to the lowest computed polymorph (kJ/mol of formula units) = 86
- electronic total energy (eV for the cell shown) = -21.3
- ΔE_f (raw) (eV per atom) = -1.0345
- crystal system = orthorhombic

***

No. 6
An optimized crystal structure of Ho2TaPt9. Source: Alexandria via LeMat-Bulk, functional PBE-GGA.

Cell lengths 4.0771, 4.0771, 12.1991 Å; angles 90.00, 90.00, 90.00 degrees
Fractional positions:
Ho1 0.0000 0.0000 0.1663
Ho2 0.0000 0.0000 0.8337
Ta1 0.0000 0.0000 0.5000
Pt1 0.0000 0.5000 0.0000
Pt2 0.0000 0.5000 0.3449
Pt3 0.0000 0.5000 0.6551
Pt4 0.5000 0.0000 0.0000
Pt5 0.5000 0.0000 0.3449
Pt6 0.5000 0.0000 0.6551
Pt7 0.5000 0.5000 0.1727
Pt8 0.5000 0.5000 0.5000
Pt9 0.5000 0.5000 0.8273

- electronic total energy (eV for the cell shown) = -87.0
- crystal system = tetragonal